# As2PbSe | Alexandria via LeMat-Bulk | GGA-PBEsol | relaxed
# - Volume: 22.72 Å³ per atom
# - Raw formation energy: 0.25 eV/atom
# - Energy above the lowest structure with this stoichiometry: 275 meV per atom
# - M_tot: 0.0 μB per formula unit
data_As2PbSe
_chemical_formula_sum 'As4 Pb2 Se2'
_cell_length_a 4.074
_cell_length_b 4.074
_cell_length_c 10.953
_cell_angle_alpha 90.00
_cell_angle_beta 90.00
_cell_angle_gamma 90.00
_symmetry_space_group_name_H-M 'I 4/m m m'
_symmetry_Int_Tables_number 139
_symmetry_space_group_name_Hall '-I 4 2'
loop_
_atom_site_label
_atom_site_type_symbol
_atom_site_fract_x
_atom_site_fract_y
_atom_site_fract_z
As1 As 0.000 0.500 0.250
Pb1 Pb 0.000 0.000 0.000
Se1 Se 0.000 0.000 0.500